(1)
DFT (SCAN) results for a crystal of K4SrBe relaxed with PBEsol.

```
K4SrBe
1.0
0.000 5.446 5.446
5.446 0.000 5.446
5.446 5.446 0.000
K Sr Be
4 1 1
Direct
0.124 0.124 0.124 K
0.124 0.124 0.628 K
0.124 0.628 0.124 K
0.628 0.124 0.124 K
0.500 0.500 0.500 Sr
0.750 0.750 0.750 Be
```

Properties
energy of formation = 678 meV per atom
total magnetization = 0.00 μB per atom
crystal system = cubic

(2)
DFT (SCAN) results for a crystal of KTa2Be relaxed with PBEsol.

```
KTa2Be
1.0
2.906 -5.391 0.000
2.906 5.391 0.000
-1.027 0.000 2.445
K Ta Be
1 2 1
Direct
0.000 0.000 0.000 K
0.000 0.500 0.500 Ta
0.500 0.000 0.500 Ta
0.500 0.500 0.000 Be
```

Properties
energy of formation = 1359 meV per atom
total magnetization = 0.00 μB per atom
crystal system = monoclinic